Computed, not measured: a geometry-optimized Nd6DyHo5 structure at the PBE-GGA level of DFT.

Summary:
Total magnetic moment: 0.0 Bohr magnetons per cell
Density: 7.75 Mg/m³
DFT total energy: -4.6585 eV/atom

Unit cell a=5.124 b=10.104 c=15.325 alpha=90.00 beta=90.00 gamma=90.00
Space group Immm (No. 71)
One atom of each set of equivalent atoms:
Nd: 0.000 0.250 0.000 (multiplicity 4)
Nd: 0.000 0.250 0.333 (multiplicity 8)
Dy: 0.000 0.000 0.500 (multiplicity 2)
Ho: 0.000 0.000 0.167 (multiplicity 4)
Ho: 0.000 0.500 0.167 (multiplicity 4)
Ho: 0.000 0.500 0.500 (multiplicity 2)

Computed, not measured: a geometry-optimized Y4Ho2In structure at the PBE-GGA level of DFT.

Summary:
Total magnetic moment: 0.0 Bohr magnetons per cell
Density: 6.17 Mg/m³
DFT total energy: -5.4307 eV/atom

Unit cell a=5.624 b=6.751 c=11.661 alpha=90.00 beta=103.29 gamma=90.00
Space group P2_1/m (No. 11)
One atom of each set of equivalent atoms:
Y: 0.096 0.250 0.131 (multiplicity 2)
Y: 0.248 0.750 0.427 (multiplicity 2)
Y: 0.341 0.508 0.711 (multiplicity 4)
Ho: 0.191 0.250 0.428 (multiplicity 2)
Ho: 0.476 0.750 0.024 (multiplicity 2)
In: 0.045 0.750 0.156 (multiplicity 2)

Computed, not measured: a geometry-optimized MgCdHgCl6 structure at the PBE-GGA level of DFT.

Summary:
Total magnetic moment: 0.0 Bohr magnetons per cell
ΔE_f (raw): -108 kJ/mol of atoms
Density: 3.94 Mg/m³
DFT total energy: -2.6678 eV/atom

Unit cell a=6.306 b=6.306 c=11.657 alpha=90.00 beta=90.00 gamma=90.00
Space group P4_2nm (No. 102)
One atom of each set of equivalent atoms:
Mg: 0.000 0.000 0.000 (multiplicity 2)
Cd: 0.000 0.000 0.333 (multiplicity 2)
Hg: 0.000 0.000 0.666 (multiplicity 2)
Cl: 0.186 0.186 0.159 (multiplicity 4)
Cl: 0.191 0.191 0.843 (multiplicity 4)
Cl: 0.202 0.202 0.497 (multiplicity 4)

Computed, not measured: a geometry-optimized Ac3PCl3 structure at the PBE-GGA level of DFT.

Summary:
Total magnetic moment: 0.0 Bohr magnetons per cell
ΔE_f (raw): -175 kJ/mol of atoms
Density: 5.91 Mg/m³
DFT total energy: -5.1373 eV/atom

Unit cell a=12.255 b=12.255 c=12.255 alpha=90.00 beta=90.00 gamma=90.00
Space group I4_132 (No. 214)
One atom of each set of equivalent atoms:
Ac: 0.116 0.366 0.125 (multiplicity 24)
P: 0.125 0.125 0.125 (multiplicity 8)
Cl: 0.123 0.127 0.625 (multiplicity 24)